# Mn2CrNi2 | Alexandria via LeMat-Bulk | PBE | optimized geometry
# DOS at the Fermi energy = 18.67 states/eV per cell
# DFT total energy = -7.59 eV/atom
# total moment = 0.0 Bohr magnetons per cell
# polymorph energy (0 for the lowest one) = 2.7 kJ/mol of formula units
data_Mn2CrNi2
_space_group_name_H-M_alt 'P 4/m b m'
_space_group_IT_number 127
_space_group_name_Hall '-P 4 2ab'
_cell_length_a 6.810
_cell_length_b 6.810
_cell_length_c 2.437
_cell_angle_alpha 90.00
_cell_angle_beta 90.00
_cell_angle_gamma 90.00
loop_
_atom_site_label
_atom_site_fract_x
_atom_site_fract_y
_atom_site_fract_z
_atom_site_occupancy
Mn1 0.176 0.324 0.000 1
Cr1 0.000 0.000 0.500 1
Ni1 0.122 0.622 0.500 1